# 1
## Pu3GaTc (GGA-PBE)

Data for a relaxed structure of Pu3GaTc.

Cell and atoms, written as POSCAR:
```
Pu3GaTc
1.0
-0.029 2.790 -3.667
-5.596 -3.937 -2.951
-4.403 2.635 2.040
Tc Pu Ga
2 6 2
Cartesian
-5.753 0.284 -5.387
-2.185 1.921 -1.275
-5.110 2.080 -1.131
-8.514 0.594 -5.129
-4.682 2.487 -3.719
-3.256 -0.283 -2.943
-7.230 2.760 -3.492
-9.423 0.308 -2.444
-1.578 2.335 -3.860
-6.359 -0.130 -2.802
```

Properties
* offset from the most stable computed form: 0 meV per atom
* DFT formation energy: -0.4 eV/f.u.
* total magnetic moment: 4.7 μB per formula unit
* space group: No. 11
* density: 16.1 Mg/m³


# 2
## Pu4GaTc (GGA-PBE)

Data for a relaxed structure of Pu4GaTc.

Cell and atoms, written as POSCAR:
```
Pu4GaTc
1.0
-3.520 2.786 -2.377
-1.836 -3.747 3.729
-2.764 3.600 2.892
Ga Pu Tc
1 4 1
Cartesian
-1.762 1.382 -1.170
-3.932 0.025 0.429
-4.193 2.593 3.853
-5.281 0.142 2.560
-2.843 2.476 1.722
-5.823 2.702 0.952
```

Properties
* DFT formation energy: -0.3 eV/f.u.
* total magnetic moment: 2.0 μB per formula unit
* space group: No. 2
* density: 17.0 Mg/m³


# 3
## Pu2Ga6Tc (GGA-PBE)

Data for a relaxed structure of Pu2Ga6Tc.

Cell and atoms, written as POSCAR:
```
Pu2Ga6Tc
1.0
-2.012 1.128 -5.239
2.185 -5.295 1.148
-5.031 -3.096 1.265
Ga Pu Tc
6 2 1
Cartesian
-0.329 -4.827 0.560
-4.530 -2.436 -3.386
-3.582 -2.967 -0.918
-3.674 -5.028 -2.800
-1.185 -2.235 -0.026
-1.276 -4.295 -1.908
-1.378 -1.221 -2.861
-3.481 -6.042 0.036
0.000 0.000 0.000
```

Properties
* offset from the most stable computed form: 0 meV per atom
* DFT formation energy: -2.6 eV/f.u.
* total magnetic moment: 10.5 μB per formula unit
* space group: No. 12
* density: 9.7 Mg/m³


# 4
## PuGa2Tc (GGA-PBE)

Data for a relaxed structure of PuGa2Tc.

Cell and atoms, written as POSCAR:
```
PuGa2Tc
1.0
2.931 -0.003 -0.001
1.463 2.540 -0.001
1.464 0.845 9.386
Ga Tc Pu
2 1 1
Cartesian
1.464 0.846 7.354
1.463 0.845 2.036
2.930 1.692 0.002
2.931 1.692 4.685
```

Properties
* offset from the most stable computed form: 273 meV per atom
* DFT formation energy: -0.2 eV/f.u.
* total magnetic moment: 4.7 μB per formula unit
* space group: No. 160
* density: 11.4 Mg/m³


# 5
## PuGa2Tc (GGA-PBE)

Data for a relaxed structure of PuGa2Tc.

Cell and atoms, written as POSCAR:
```
PuGa2Tc
1.0
2.894 0.000 0.000
1.447 2.506 0.000
1.447 0.835 10.147
Tc Ga Pu
1 2 1
Cartesian
2.894 1.671 5.074
4.341 2.506 2.990
1.447 0.835 7.157
0.000 0.000 0.000
```

Properties
* offset from the most stable computed form: 493 meV per atom
* DFT formation energy: 0.6 eV/f.u.
* total magnetic moment: 4.9 μB per formula unit
* space group: No. 166
* density: 10.9 Mg/m³


# 6
## Pu6GaTc5 (GGA-PBE)

Data for a relaxed structure of Pu6GaTc5.

Cell and atoms, written as POSCAR:
```
Pu6GaTc5
1.0
9.658 0.041 -0.010
2.549 4.277 -0.010
1.268 2.129 5.629
Pu Tc Ga
6 5 1
Cartesian
10.656 5.228 5.614
2.819 1.218 -0.005
7.696 1.207 1.965
5.779 5.240 3.644
4.508 3.106 1.965
8.967 3.340 3.644
6.103 2.159 -0.010
7.378 4.298 1.417
6.097 2.149 4.193
1.271 2.133 2.044
2.546 4.273 3.575
0.000 0.000 0.000
```

Properties
* DFT formation energy: 0.4 eV/f.u.
* total magnetic moment: 25.7 μB per formula unit
* space group: No. 10
* density: 14.5 Mg/m³